# 1
Ta2AgCl | Alexandria | SCAN | PBEsol geometry; crystal system = orthorhombic; raw formation energy = 722 meV per atom; magnetic moment = 0.00 μB per formula unit; VASP energy = -42.406 eV per atom
1.0
-1.657 -1.953 1.204
0.342 -2.896 -4.227
3.652 -0.952 3.482
Cl Ag Ta
1 1 2
direct
0.500 0.500 0.500
0.500 0.000 0.000
0.000 0.500 0.000
0.000 0.000 0.500


# 2
B2HI2 | Alexandria | SCAN | PBEsol geometry; crystal system = tetragonal; magnetic moment = 0.91 μB per formula unit; VASP energy = -17.318 eV per atom
1.0
3.437 0.000 0.000
0.000 7.726 0.000
0.000 0.000 7.726
B I H
4 4 2
direct
0.500 0.571 0.929
0.500 0.929 0.429
0.500 0.429 0.071
0.500 0.071 0.571
0.000 0.696 0.804
0.000 0.196 0.696
0.000 0.804 0.304
0.000 0.304 0.196
0.000 0.500 0.500
0.000 0.000 0.000


Among the records above, which one has the lowest VASP energy? Ta2AgCl